Entry from the Alexandria database: a relaxed structure of VSiSe4 (PBE-GGA).

The structure in CIF format:
```
data_VSiSe4
_space_group_name_H-M_alt 'C 1 2/m 1'
_space_group_IT_number 12
_cell_length_a 15.2580
_cell_length_b 4.5156
_cell_length_c 9.9260
_cell_angle_alpha 90.00
_cell_angle_beta 104.89
_cell_angle_gamma 90.00
loop_
_space_group_symop_operation_xyz
'x,y,z'
'-x,-y,-z'
'-x,y,-z'
'x,-y,z'
'x+1/2,y+1/2,z'
'-x+1/2,-y+1/2,-z'
'-x+1/2,y+1/2,-z'
'x+1/2,-y+1/2,z'
loop_
_atom_site_label
_atom_site_type_symbol
_atom_site_fract_x
_atom_site_fract_y
_atom_site_fract_z
V1 V 0.1918 0.0000 0.2640
Si1 Si 0.1077 0.0000 0.6224
Se1 Se 0.0581 0.0000 0.3810
Se2 Se 0.1154 0.0000 0.0470
Se3 Se 0.1421 0.5000 0.7355
Se4 Se 0.2310 0.5000 0.3550
```

Its density of states at the Fermi level is 0.35 states/eV per atom. Its uncorrected formation energy is -28.8 kJ/mol of atoms.